Entry 1:
Compound: Pm2LuAs
Source: the Alexandria database
Functional: GGA-PBE
Structure: relaxed

Energy relative to the elements (eV/atom): -0.523
SG: P4/mmm, No. 123
Fermi-level density of states (states/eV/f.u.): 4.7
Raw total energy (eV/cell): -20.76
ρ (g cm⁻³): 8.03

Lattice parameters (Å, degrees): 3.861 3.861 7.492 90.00 90.00 90.00
Atoms (fractional coordinates):
1 Pm 0.000 0.000 0.211
2 Pm 0.000 0.000 0.789
3 Lu 0.500 0.500 0.500
4 As 0.500 0.500 0.000

***

Entry 2:
Compound: Mg2CdAg
Source: the Alexandria database
Functional: GGA-PBE
Structure: relaxed

Energy relative to the elements (eV/atom): -0.092
SG: F-43m, No. 216
Fermi-level density of states (states/eV/f.u.): 0.8
Energy relative to the lowest polymorph listed for this composition (eV/atom): 0.084
Raw total energy (eV/cell): -7.32
ρ (g cm⁻³): 5.68

Lattice parameters (Å, degrees): 4.810 4.810 4.810 60.00 60.00 60.00
Atoms (fractional coordinates):
1 Mg 0.000 0.000 0.000
2 Mg 0.250 0.250 0.250
3 Cd 0.750 0.750 0.750
4 Ag 0.500 0.500 0.500

***

Entry 3:
Compound: TbYGe
Source: the Alexandria database
Functional: GGA-PBE
Structure: relaxed

Energy relative to the elements (eV/atom): -0.558
SG: F-43m, No. 216
Fermi-level density of states (states/eV/f.u.): 2.7
Energy relative to the lowest polymorph listed for this composition (eV/atom): 0.092
Raw total energy (eV/cell): -17.39
ρ (g cm⁻³): 6.39

Lattice parameters (Å, degrees): 4.901 4.901 4.901 60.00 60.00 60.00
Atoms (fractional coordinates):
1 Tb 0.000 0.000 0.000
2 Y 0.500 0.500 0.500
3 Ge 0.750 0.750 0.750

***

Entry 4:
Compound: FePbBr3
Source: the Alexandria database
Functional: GGA-PBE
Structure: relaxed

Formation energy without anion corrections (eV per formula unit): -1.1
SG: Pm-3m, No. 221
Fermi-level density of states (states/eV/f.u.): 12.2
Energy relative to the lowest polymorph listed for this composition (eV/atom): 0.000
Raw total energy (eV/cell): -18.27
ρ (g cm⁻³): 6.09

Lattice parameters (Å, degrees): 5.156 5.156 5.156 90.00 90.00 90.00
Atoms (fractional coordinates):
1 Fe 0.000 0.000 0.000
2 Pb 0.500 0.500 0.500
3 Br 0.000 0.000 0.500
4 Br 0.000 0.500 0.000
5 Br 0.500 0.000 0.000

***

Entry 5:
Compound: Pm2Pr3ErSe6
Source: the Alexandria database
Functional: GGA-PBE
Structure: relaxed

Formation energy without anion corrections (eV per formula unit): -21.8
SG: C2/m, No. 12
Fermi-level density of states (states/eV/f.u.): 5.6
Raw total energy (eV/cell): -71.16
ρ (g cm⁻³): 7.13

Lattice parameters (Å, degrees): 7.266 7.266 7.328 99.48 99.48 120.22
Atoms (fractional coordinates):
1 Pm 0.167 0.833 0.000
2 Pm 0.833 0.167 0.000
3 Pr 0.000 0.000 0.500
4 Pr 0.327 0.673 0.500
5 Pr 0.673 0.327 0.500
6 Er 0.500 0.500 0.000
7 Se 0.098 0.421 0.763
8 Se 0.257 0.257 0.242
9 Se 0.421 0.098 0.763
10 Se 0.579 0.902 0.237
11 Se 0.743 0.743 0.758
12 Se 0.902 0.579 0.237

***

Entry 6:
Compound: ErHfRu
Source: the Alexandria database
Functional: GGA-PBE
Structure: relaxed

Energy relative to the elements (eV/atom): -0.421
SG: P2_1/m, No. 11
Fermi-level density of states (states/eV/f.u.): 2.8
Energy relative to the lowest polymorph listed for this composition (eV/atom): 0.000
Raw total energy (eV/cell): -150.33
ρ (g cm⁻³): 11.43

Lattice parameters (Å, degrees): 7.001 4.462 12.467 90.00 90.06 90.00
Atoms (fractional coordinates):
1 Er 0.004 0.250 0.290
2 Er 0.373 0.250 0.089
3 Er 0.482 0.250 0.379
4 Er 0.518 0.750 0.621
5 Er 0.627 0.750 0.911
6 Er 0.996 0.750 0.710
7 Hf 0.033 0.750 0.088
8 Hf 0.145 0.750 0.457
9 Hf 0.341 0.250 0.786
10 Hf 0.659 0.750 0.214
11 Hf 0.855 0.250 0.543
12 Hf 0.967 0.250 0.912
13 Ru 0.204 0.750 0.897
14 Ru 0.232 0.250 0.568
15 Ru 0.292 0.750 0.246
16 Ru 0.708 0.250 0.754
17 Ru 0.768 0.750 0.432
18 Ru 0.796 0.250 0.103

***

Entry 7:
Compound: MnAg3C
Source: the Alexandria database
Functional: GGA-PBE
Structure: relaxed

Energy relative to the elements (eV/atom): 0.896
SG: Pm-3m, No. 221
Fermi-level density of states (states/eV/f.u.): 2.1
Energy relative to the lowest polymorph listed for this composition (eV/atom): 0.000
Raw total energy (eV/cell): -22.47
ρ (g cm⁻³): 8.01

Lattice parameters (Å, degrees): 4.326 4.326 4.326 90.00 90.00 90.00
Atoms (fractional coordinates):
1 Mn 0.000 0.000 0.000
2 Ag 0.000 0.500 0.500
3 Ag 0.500 0.000 0.500
4 Ag 0.500 0.500 0.000
5 C 0.500 0.500 0.500

***

Entry 8:
Compound: Y2CuSe
Source: the Alexandria database
Functional: GGA-PBE
Structure: relaxed

Formation energy without anion corrections (eV per formula unit): -2.5
SG: I-42d, No. 122
Fermi-level density of states (states/eV/f.u.): 1.8
Energy relative to the lowest polymorph listed for this composition (eV/atom): 0.391
Raw total energy (eV/cell): -46.09
ρ (g cm⁻³): 5.20

Lattice parameters (Å, degrees): 6.430 6.430 6.430 109.82 109.82 108.78
Atoms (fractional coordinates):
1 Y 0.114 0.625 0.989
2 Y 0.375 0.364 0.489
3 Y 0.636 0.125 0.011
4 Y 0.875 0.886 0.511
5 Cu 0.000 0.000 0.000
6 Cu 0.750 0.250 0.500
7 Se 0.250 0.750 0.500
8 Se 0.500 0.500 0.000

***

Entry 9:
Compound: DyIn2
Source: the Alexandria database
Functional: GGA-PBE
Structure: relaxed

Energy relative to the elements (eV/atom): -0.326
SG: Fd-3m, No. 227
Fermi-level density of states (states/eV/f.u.): 2.0
Raw total energy (eV/cell): -22.11
ρ (g cm⁻³): 8.57

Lattice parameters (Å, degrees): 5.991 5.991 5.991 60.00 60.00 60.00
Atoms (fractional coordinates):
1 Dy 0.125 0.125 0.125
2 Dy 0.875 0.875 0.875
3 In 0.000 0.500 0.500
4 In 0.500 0.000 0.500
5 In 0.500 0.500 0.000
6 In 0.500 0.500 0.500

***

Entry 10:
Compound: ThFeP2Os
Source: the Alexandria database
Functional: GGA-PBE
Structure: relaxed

Energy relative to the elements (eV/atom): -0.832
SG: I-4m2, No. 119
Fermi-level density of states (states/eV/f.u.): 3.2
Raw total energy (eV/cell): -42.09
ρ (g cm⁻³): 10.92

Lattice parameters (Å, degrees): 5.956 5.956 5.956 141.24 141.24 55.97
Atoms (fractional coordinates):
1 Th 0.000 0.000 0.000
2 Fe 0.750 0.250 0.500
3 P 0.361 0.361 0.000
4 P 0.639 0.639 0.000
5 Os 0.250 0.750 0.500

***

Entry 11:
Compound: AcLaPtAu
Source: the Alexandria database
Functional: GGA-PBE
Structure: relaxed

Energy relative to the elements (eV/atom): -0.954
SG: P4mm, No. 99
Fermi-level density of states (states/eV/f.u.): 2.2
Energy relative to the lowest polymorph listed for this composition (eV/atom): 0.000
Raw total energy (eV/cell): -22.17
ρ (g cm⁻³): 10.42

Lattice parameters (Å, degrees): 4.410 4.410 6.213 90.00 90.00 90.00
Atoms (fractional coordinates):
1 Ac 0.000 0.000 0.000
2 La 0.500 0.500 0.501
3 Pt 0.500 0.500 0.000
4 Au 0.000 0.000 0.500

***

Entry 12:
Compound: Ag5Bi2Br12
Source: the Alexandria database
Functional: GGA-PBE
Structure: relaxed

Formation energy without anion corrections (eV per formula unit): -9.1
SG: P-1, No. 2
Fermi-level density of states (states/eV/f.u.): 4.3
Raw total energy (eV/cell): -51.22
ρ (g cm⁻³): 4.61

Lattice parameters (Å, degrees): 7.521 8.413 12.110 109.03 106.22 91.52
Atoms (fractional coordinates):
1 Ag 0.000 0.000 0.000
2 Ag 0.397 0.689 0.830
3 Ag 0.402 0.142 0.830
4 Ag 0.598 0.858 0.170
5 Ag 0.603 0.311 0.170
6 Bi 0.005 0.254 0.509
7 Bi 0.995 0.746 0.491
8 Br 0.114 0.427 0.363
9 Br 0.114 0.950 0.363
10 Br 0.240 0.775 0.010
11 Br 0.245 0.239 0.009
12 Br 0.369 0.350 0.691
13 Br 0.377 0.834 0.658
14 Br 0.623 0.166 0.342
15 Br 0.631 0.650 0.309
16 Br 0.755 0.761 0.991
17 Br 0.760 0.225 0.990
18 Br 0.886 0.050 0.637
19 Br 0.886 0.573 0.637